{
  "formula": "LaYMo2O8",
  "functional": "PBE with a Hubbard U",
  "state": "optimized geometry",
  "spacegroup": "No. 82",
  "e_tot_ev_per_fu": -94.51,
  "lattice_angstrom": [[5.356, 0.000, 0.000], [0.000, 5.356, 0.000], [-2.678, -2.678, 5.696]],
  "species": ["Mo", "Mo", "O", "O", "O", "O", "O", "O", "O", "O", "Y", "La"],
  "frac_coords": [[0.500, 0.500, 0.000], [0.250, 0.750, 0.500], [0.999, 0.430, 0.325], [0.105, 0.001, 0.675], [0.570, 0.674, 0.675], [0.151, 0.598, 0.825], [0.773, 0.849, 0.175], [0.326, 0.895, 0.325], [0.674, 0.227, 0.825], [0.402, 0.326, 0.175], [0.000, 0.000, 0.000], [0.750, 0.250, 0.500]]
}